(1)
Rb2TaW | PBE-GGA | relaxed

The structure in CIF format:
```
data_Rb2TaW
_chemical_formula_sum 'Rb8 Ta4 W4'
_cell_length_a 13.5844
_cell_length_b 13.5844
_cell_length_c 4.6778
_cell_angle_alpha 90.00
_cell_angle_beta 90.00
_cell_angle_gamma 90.00
_symmetry_space_group_name_H-M 'I -4 2 d'
_symmetry_Int_Tables_number 122
_symmetry_space_group_name_Hall 'I -4 2bw'
loop_
_atom_site_label
_atom_site_type_symbol
_atom_site_fract_x
_atom_site_fract_y
_atom_site_fract_z
Rb1 Rb 0.0762 0.7500 0.1250
Ta1 Ta 0.0000 0.0000 0.5000
W1 W 0.0000 0.0000 0.0000
```

Output
The energy relative to the elements comes out at 1.98 eV/atom. The value obtained for the distance to the lowest polymorph of the same formula is 0 meV per atom. As for the electronic total energy: -0.17284 hartree per atom.

(2)
Y3OsC | PBE-GGA | relaxed

The structure in CIF format:
```
data_Y3OsC
_chemical_formula_sum 'Y3 Os1 C1'
_cell_length_a 4.7708
_cell_length_b 4.7708
_cell_length_c 4.7708
_cell_angle_alpha 90.00
_cell_angle_beta 90.00
_cell_angle_gamma 90.00
_symmetry_space_group_name_H-M 'P m -3 m'
_symmetry_Int_Tables_number 221
_symmetry_space_group_name_Hall '-P 4 2 3'
loop_
_atom_site_label
_atom_site_type_symbol
_atom_site_fract_x
_atom_site_fract_y
_atom_site_fract_z
Y1 Y 0.0000 0.0000 0.5000
Os1 Os 0.5000 0.5000 0.5000
C1 C 0.0000 0.0000 0.0000
```

Output
The energy relative to the elements comes out at 0.08 eV/atom. The value obtained for the distance to the lowest polymorph of the same formula is 0 meV per atom. As for the electronic total energy: -0.28982 hartree per atom.

(3)
Be2CoBr | PBE-GGA | relaxed

The structure in CIF format:
```
data_Be2CoBr
_chemical_formula_sum 'Be8 Co4 Br4'
_cell_length_a 5.2894
_cell_length_b 5.2894
_cell_length_c 9.4857
_cell_angle_alpha 90.00
_cell_angle_beta 90.00
_cell_angle_gamma 90.00
_symmetry_space_group_name_H-M 'I -4 2 d'
_symmetry_Int_Tables_number 122
_symmetry_space_group_name_Hall 'I -4 2bw'
loop_
_atom_site_label
_atom_site_type_symbol
_atom_site_fract_x
_atom_site_fract_y
_atom_site_fract_z
Be1 Be 0.2094 0.2500 0.1250
Co1 Co 0.0000 0.0000 0.0000
Br1 Br 0.0000 0.0000 0.5000
```

Output
The value obtained for the distance to the lowest polymorph of the same formula is 589 meV per atom. As for the electronic total energy: -0.12264 hartree per atom. Its formation energy without anion corrections is 0.72 eV/atom.

(4)
SmPuZnPt | PBE-GGA | relaxed

The structure in CIF format:
```
data_SmPuZnPt
_chemical_formula_sum 'Sm4 Pu4 Zn4 Pt4'
_cell_length_a 7.1457
_cell_length_b 7.1457
_cell_length_c 7.1457
_cell_angle_alpha 90.00
_cell_angle_beta 90.00
_cell_angle_gamma 90.00
_symmetry_space_group_name_H-M 'F -4 3 m'
_symmetry_Int_Tables_number 216
_symmetry_space_group_name_Hall 'F -4 2 3'
loop_
_atom_site_label
_atom_site_type_symbol
_atom_site_fract_x
_atom_site_fract_y
_atom_site_fract_z
Sm1 Sm 0.0000 0.0000 0.0000
Pu1 Pu 0.0000 0.0000 0.5000
Zn1 Zn 0.2500 0.2500 0.2500
Pt1 Pt 0.2500 0.2500 0.7500
```

Output
The energy relative to the elements comes out at -0.53 eV/atom. As for the electronic total energy: -0.26168 hartree per atom.

(5)
MnCrCo2 | PBE-GGA | relaxed

The structure in CIF format:
```
data_MnCrCo2
_chemical_formula_sum 'Mn4 Cr4 Co8'
_cell_length_a 6.1910
_cell_length_b 6.1910
_cell_length_c 4.8416
_cell_angle_alpha 90.00
_cell_angle_beta 90.00
_cell_angle_gamma 90.00
_symmetry_space_group_name_H-M 'I -4 2 d'
_symmetry_Int_Tables_number 122
_symmetry_space_group_name_Hall 'I -4 2bw'
loop_
_atom_site_label
_atom_site_type_symbol
_atom_site_fract_x
_atom_site_fract_y
_atom_site_fract_z
Mn1 Mn 0.0000 0.0000 0.0000
Cr1 Cr 0.0000 0.0000 0.5000
Co1 Co 0.2456 0.2500 0.6250
```

Output
The energy relative to the elements comes out at 0.64 eV/atom. As for the electronic total energy: -0.27976 hartree per atom.

(6)
RbUTlS3 | PBE-GGA | relaxed

The structure in CIF format:
```
data_RbUTlS3
_chemical_formula_sum 'Rb4 U4 Tl4 S12'
_cell_length_a 7.7103
_cell_length_b 15.3477
_cell_length_c 7.1439
_cell_angle_alpha 90.00
_cell_angle_beta 102.22
_cell_angle_gamma 90.00
_symmetry_space_group_name_H-M 'C 1 2/c 1'
_symmetry_Int_Tables_number 15
_symmetry_space_group_name_Hall '-C 2yc'
loop_
_atom_site_label
_atom_site_type_symbol
_atom_site_fract_x
_atom_site_fract_y
_atom_site_fract_z
Rb1 Rb 0.0000 0.2469 0.2500
U1 U 0.0000 0.0554 0.7500
Tl1 Tl 0.0000 0.4201 0.7500
S1 S 0.0000 0.2202 0.7500
S2 S 0.2143 0.0444 0.5015
```

Output
As for the electronic total energy: -0.20339 hartree per atom. Its formation energy without anion corrections is -1.03 eV/atom.

(7)
La3As4Au2 | PBE-GGA | relaxed

The structure in CIF format:
```
data_La3As4Au2
_chemical_formula_sum 'La6 As8 Au4'
_cell_length_a 14.1128
_cell_length_b 4.2282
_cell_length_c 8.9063
_cell_angle_alpha 90.00
_cell_angle_beta 121.65
_cell_angle_gamma 90.00
_symmetry_space_group_name_H-M 'C 1 2/m 1'
_symmetry_Int_Tables_number 12
_symmetry_space_group_name_Hall '-C 2y'
loop_
_atom_site_label
_atom_site_type_symbol
_atom_site_fract_x
_atom_site_fract_y
_atom_site_fract_z
La1 La 0.0000 0.0000 0.0000
La2 La 0.1490 0.5000 0.7322
As1 As 0.0653 0.0000 0.4126
As2 As 0.1745 0.5000 0.0871
Au1 Au 0.1628 0.5000 0.3673
```

Output
The energy relative to the elements comes out at -1.02 eV/atom. As for the electronic total energy: -0.20057 hartree per atom.

(8)
La6Ir3ICl2 | PBE-GGA | relaxed

The structure in CIF format:
```
data_La6Ir3ICl2
_chemical_formula_sum 'La12 Ir6 I2 Cl4'
_cell_length_a 19.9508
_cell_length_b 4.2123
_cell_length_c 9.2578
_cell_angle_alpha 90.00
_cell_angle_beta 110.66
_cell_angle_gamma 90.00
_symmetry_space_group_name_H-M 'C 1 2/m 1'
_symmetry_Int_Tables_number 12
_symmetry_space_group_name_Hall '-C 2y'
loop_
_atom_site_label
_atom_site_type_symbol
_atom_site_fract_x
_atom_site_fract_y
_atom_site_fract_z
La1 La 0.0124 0.0000 0.2145
La2 La 0.1573 0.5000 0.1087
La3 La 0.1807 0.5000 0.5535
Ir1 Ir 0.0000 0.5000 0.0000
Ir2 Ir 0.1670 0.0000 0.3293
I1 I 0.0000 0.5000 0.5000
Cl1 Cl 0.1689 0.0000 0.8366
```

Output
As for the electronic total energy: -0.23391 hartree per atom. Its formation energy without anion corrections is -1.25 eV/atom.

(9)
Y2TlPb | PBE-GGA | relaxed

The structure in CIF format:
```
data_Y2TlPb
_chemical_formula_sum 'Y8 Tl4 Pb4'
_cell_length_a 7.8525
_cell_length_b 7.8525
_cell_length_c 7.8525
_cell_angle_alpha 90.00
_cell_angle_beta 90.00
_cell_angle_gamma 90.00
_symmetry_space_group_name_H-M 'F -4 3 m'
_symmetry_Int_Tables_number 216
_symmetry_space_group_name_Hall 'F -4 2 3'
loop_
_atom_site_label
_atom_site_type_symbol
_atom_site_fract_x
_atom_site_fract_y
_atom_site_fract_z
Y1 Y 0.0000 0.0000 0.0000
Y2 Y 0.2500 0.2500 0.2500
Tl1 Tl 0.0000 0.0000 0.5000
Pb1 Pb 0.2500 0.2500 0.7500
```

Output
The energy relative to the elements comes out at 0.06 eV/atom. As for the electronic total energy: -0.17231 hartree per atom.

(10)
ZnCo4Os | PBE-GGA | relaxed

The structure in CIF format:
```
data_ZnCo4Os
_chemical_formula_sum 'Zn4 Co16 Os4'
_cell_length_a 6.6370
_cell_length_b 6.6370
_cell_length_c 6.6370
_cell_angle_alpha 90.00
_cell_angle_beta 90.00
_cell_angle_gamma 90.00
_symmetry_space_group_name_H-M 'F -4 3 m'
_symmetry_Int_Tables_number 216
_symmetry_space_group_name_Hall 'F -4 2 3'
loop_
_atom_site_label
_atom_site_type_symbol
_atom_site_fract_x
_atom_site_fract_y
_atom_site_fract_z
Zn1 Zn 0.0000 0.0000 0.0000
Co1 Co 0.1252 0.1252 0.6252
Os1 Os 0.2500 0.2500 0.2500
```

Output
The energy relative to the elements comes out at 0.21 eV/atom. As for the electronic total energy: -0.24303 hartree per atom.

(11)
Rb2AgPPt | PBE-GGA | relaxed

The structure in CIF format:
```
data_Rb2AgPPt
_chemical_formula_sum 'Rb2 Ag1 P1 Pt1'
_cell_length_a 6.7079
_cell_length_b 6.7079
_cell_length_c 4.3643
_cell_angle_alpha 90.00
_cell_angle_beta 90.00
_cell_angle_gamma 90.00
_symmetry_space_group_name_H-M 'P 4/m m m'
_symmetry_Int_Tables_number 123
_symmetry_space_group_name_Hall '-P 4 2'
loop_
_atom_site_label
_atom_site_type_symbol
_atom_site_fract_x
_atom_site_fract_y
_atom_site_fract_z
Rb1 Rb 0.0000 0.5000 0.0000
Ag1 Ag 0.0000 0.0000 0.5000
P1 P 0.5000 0.5000 0.5000
Pt1 Pt 0.5000 0.5000 0.0000
```

Output
The energy relative to the elements comes out at -0.13 eV/atom. The value obtained for the distance to the lowest polymorph of the same formula is 0 meV per atom. As for the electronic total energy: -0.12414 hartree per atom.

(12)
TiAl2V | PBE-GGA | relaxed

The structure in CIF format:
```
data_TiAl2V
_chemical_formula_sum 'Ti1 Al2 V1'
_cell_length_a 3.2825
_cell_length_b 3.2825
_cell_length_c 5.7191
_cell_angle_alpha 90.00
_cell_angle_beta 90.00
_cell_angle_gamma 90.00
_symmetry_space_group_name_H-M 'P 4/m m m'
_symmetry_Int_Tables_number 123
_symmetry_space_group_name_Hall '-P 4 2'
loop_
_atom_site_label
_atom_site_type_symbol
_atom_site_fract_x
_atom_site_fract_y
_atom_site_fract_z
Ti1 Ti 0.0000 0.0000 0.0000
Al1 Al 0.5000 0.5000 0.2628
V1 V 0.0000 0.0000 0.5000
```

Output
The energy relative to the elements comes out at -0.16 eV/atom. The value obtained for the distance to the lowest polymorph of the same formula is 158 meV per atom. As for the electronic total energy: -0.23087 hartree per atom.